1.
The following is a GGA-PBE calculation of an optimized crystal structure of Pm2ErH, from Alexandria.

Unit cell a=3.4141 b=3.4141 c=8.5404 alpha=90.00 beta=90.00 gamma=90.00
Atoms (fractional coordinates):
H: 0.5000 0.5000 0.0000
Pm: 0.0000 0.0000 0.8080
Pm: 0.0000 0.0000 0.1920
Er: 0.5000 0.5000 0.5000

- Energy above the lowest structure with this stoichiometry: 242.4 meV per atom
- Volume: 24.9 Å³ per atom
- Symmetry: No. 123
- Fermi-level density of states: 3.74 states/eV per cell
- Theoretical density: 7.6 g cm⁻³

=====

2.
The following is a GGA-PBE calculation of an optimized crystal structure of Pm2PrErH, from Alexandria.

Unit cell a=5.0729 b=5.1177 c=5.1177 alpha=90.00 beta=90.00 gamma=90.00
Atoms (fractional coordinates):
Pm: 0.0000 0.0000 0.5000
Pm: 0.0000 0.5000 0.0000
Pr: 0.5000 0.5000 0.5000
Er: 0.5000 0.0000 0.0000
H: 0.0000 0.0000 0.0000

- Volume: 26.6 Å³ per atom
- Symmetry: No. 123
- Fermi-level density of states: 4.17 states/eV per cell
- Calculated total energy: -4.61 eV/atom
- Theoretical density: 7.5 g cm⁻³

=====

3.
The following is a GGA-PBE calculation of an optimized crystal structure of Pm2SmErH, from Alexandria.

Unit cell a=5.0352 b=5.0951 c=5.0951 alpha=90.00 beta=90.00 gamma=90.00
Atoms (fractional coordinates):
Pm: 0.0000 0.0000 0.5000
Pm: 0.0000 0.5000 0.0000
Sm: 0.5000 0.5000 0.5000
Er: 0.5000 0.0000 0.0000
H: 0.0000 0.0000 0.0000

- Volume: 26.1 Å³ per atom
- Symmetry: No. 123
- Fermi-level density of states: 4.34 states/eV per cell
- Calculated total energy: -4.60 eV/atom
- Theoretical density: 7.7 g cm⁻³

=====

4.
The following is a GGA-PBE calculation of an optimized crystal structure of Pm4Er2Tl3H2, from Alexandria.

Unit cell a=4.7956 b=4.7956 c=12.9908 alpha=100.64 beta=100.64 gamma=90.00
Atoms (fractional coordinates):
Pm: 0.4129 0.9129 0.8259
Pm: 0.9129 0.4129 0.8259
Pm: 0.0871 0.5871 0.1741
Pm: 0.5871 0.0871 0.1741
Er: 0.3000 0.3000 0.6000
Er: 0.7000 0.7000 0.4000
Tl: 0.0000 0.0000 0.0000
Tl: 0.1771 0.1771 0.3543
Tl: 0.8229 0.8229 0.6457
H: 0.3919 0.3919 0.7838
H: 0.6081 0.6081 0.2162

- Volume: 26.2 Å³ per atom
- Symmetry: No. 139
- Fermi-level density of states: 9.04 states/eV per cell
- Calculated total energy: -4.07 eV/atom
- Theoretical density: 8.8 g cm⁻³

=====

5.
The following is a GGA-PBE calculation of an optimized crystal structure of PrEr2H, from Alexandria.

Unit cell a=3.4797 b=3.4797 c=9.7151 alpha=79.68 beta=79.68 gamma=60.00
Atoms (fractional coordinates):
Pr: 0.0000 0.0000 0.0000
H: 0.5000 0.5000 0.5000
Er: 0.1207 0.1207 0.6380
Er: 0.8793 0.8793 0.3620

- Volume: 24.9 Å³ per atom
- Symmetry: No. 166
- Fermi-level density of states: 4.38 states/eV per cell
- Calculated total energy: -4.36 eV/atom
- Theoretical density: 7.9 g cm⁻³

=====

6.
The following is a GGA-PBE calculation of an optimized crystal structure of Pr3ErH, from Alexandria.

Unit cell a=5.1740 b=5.1740 c=5.1740 alpha=90.00 beta=90.00 gamma=90.00
Atoms (fractional coordinates):
Pr: 0.0000 0.5000 0.0000
Pr: 0.0000 0.0000 0.5000
Pr: 0.5000 0.0000 0.0000
H: 0.0000 0.0000 0.0000
Er: 0.5000 0.5000 0.5000

- Volume: 27.7 Å³ per atom
- Symmetry: No. 221
- Fermi-level density of states: 5.17 states/eV per cell
- Calculated total energy: -4.61 eV/atom
- Theoretical density: 7.1 g cm⁻³

=====

7.
The following is a GGA-PBE calculation of an optimized crystal structure of Pr3ErH8, from Alexandria.

Unit cell a=5.4262 b=5.4262 c=5.4262 alpha=90.00 beta=90.00 gamma=90.00
Atoms (fractional coordinates):
Pr: 0.5000 0.5000 0.0000
Pr: 0.5000 0.0000 0.5000
Pr: 0.0000 0.5000 0.5000
Er: 0.0000 0.0000 0.0000
H: 0.2386 0.2386 0.7614
H: 0.2386 0.7614 0.2386
H: 0.7614 0.2386 0.2386
H: 0.7614 0.7614 0.7614
H: 0.7614 0.7614 0.2386
H: 0.7614 0.2386 0.7614
H: 0.2386 0.7614 0.7614
H: 0.2386 0.2386 0.2386

- Volume: 13.3 Å³ per atom
- Symmetry: No. 221
- Fermi-level density of states: 1.84 states/eV per cell
- Calculated total energy: -4.46 eV/atom
- Theoretical density: 6.2 g cm⁻³

=====

8.
The following is a GGA-PBE calculation of an optimized crystal structure of PrErTlH, from Alexandria.

Unit cell a=4.5646 b=4.5646 c=8.9647 alpha=90.00 beta=90.00 gamma=90.00
Atoms (fractional coordinates):
Pr: 0.0000 0.5000 0.8863
Pr: 0.5000 0.0000 0.1137
Er: 0.0000 0.0000 0.5000
Er: 0.5000 0.5000 0.5000
Tl: 0.5000 0.0000 0.7400
Tl: 0.0000 0.5000 0.2600
H: 0.5000 0.5000 0.0000
H: 0.0000 0.0000 0.0000

- Volume: 23.3 Å³ per atom
- Symmetry: No. 129
- Fermi-level density of states: 4.72 states/eV per cell
- Calculated total energy: -4.11 eV/atom
- Theoretical density: 9.1 g cm⁻³

=====

9.
The following is a GGA-PBE calculation of an optimized crystal structure of Er2HPt, from Alexandria.

Unit cell a=3.2931 b=3.2931 c=8.3376 alpha=78.61 beta=78.61 gamma=60.00
Atoms (fractional coordinates):
H: 0.5000 0.5000 0.5000
Pt: 0.0000 0.0000 0.0000
Er: 0.1084 0.1084 0.6749
Er: 0.8916 0.8916 0.3251

- Volume: 19.1 Å³ per atom
- Symmetry: No. 166
- Fermi-level density of states: 2.67 states/eV per cell
- Calculated total energy: -4.72 eV/atom
- Theoretical density: 11.6 g cm⁻³

=====

10.
The following is a GGA-PBE calculation of an optimized crystal structure of ErH8Pt2, from Alexandria.

Unit cell a=3.7502 b=5.4413 c=5.4413 alpha=83.95 beta=69.79 gamma=69.79
Atoms (fractional coordinates):
Er: 0.5000 0.0000 0.0000
H: 0.1602 0.9823 0.6960
H: 0.1602 0.6960 0.9823
H: 0.8427 0.6598 0.6598
H: 0.5000 0.6864 0.3136
H: 0.5000 0.3136 0.6864
H: 0.1573 0.3402 0.3402
H: 0.8398 0.3040 0.0177
H: 0.8398 0.0177 0.3040
Pt: 0.0000 0.3061 0.6939
Pt: 0.0000 0.6939 0.3061

- Volume: 8.9 Å³ per atom
- Symmetry: No. 12
- Fermi-level density of states: 2.10 states/eV per cell
- Calculated total energy: -4.19 eV/atom
- Theoretical density: 9.6 g cm⁻³

=====

11.
The following is a GGA-PBE calculation of an optimized crystal structure of ErHPt3, from Alexandria.

Unit cell a=5.8899 b=5.8900 c=5.8899 alpha=119.57 beta=119.57 gamma=60.43
Atoms (fractional coordinates):
Er: 0.4937 0.6279 0.9074
Er: 0.9938 0.1280 0.4073
H: 0.6606 0.7948 0.7405
H: 0.1604 0.2947 0.2406
Pt: 0.9854 0.6429 0.4157
Pt: 0.5087 0.1196 0.4157
Pt: 0.9854 0.1196 0.8924
Pt: 0.4854 0.6196 0.3925
Pt: 0.4854 0.1428 0.9157
Pt: 0.0086 0.6196 0.9157

- Energy above the lowest structure with this stoichiometry: 0.0 meV per atom
- Volume: 14.6 Å³ per atom
- Symmetry: No. 160
- Fermi-level density of states: 0.77 states/eV per cell
- Theoretical density: 17.2 g cm⁻³

=====

12.
The following is a GGA-PBE calculation of an optimized crystal structure of Er2HPt6, from Alexandria.

Unit cell a=5.8364 b=5.8364 c=5.8364 alpha=60.00 beta=60.00 gamma=60.00
Atoms (fractional coordinates):
Er: 0.2500 0.2500 0.2500
Er: 0.7500 0.7500 0.7500
H: 0.0000 0.0000 0.0000
Pt: 0.2525 0.7475 0.7475
Pt: 0.2525 0.7475 0.2525
Pt: 0.7475 0.2525 0.7475
Pt: 0.7475 0.2525 0.2525
Pt: 0.7475 0.7475 0.2525
Pt: 0.2525 0.2525 0.7475

- Volume: 15.6 Å³ per atom
- Symmetry: No. 225
- Fermi-level density of states: 3.83 states/eV per cell
- Calculated total energy: -6.35 eV/atom
- Theoretical density: 17.8 g cm⁻³

=====

13.
The following is a GGA-PBE calculation of an optimized crystal structure of Er3H12Pt5, from Alexandria.

Unit cell a=10.2302 b=10.2302 c=10.2302 alpha=109.47 beta=109.47 gamma=109.47
Atoms (fractional coordinates):
Er: 0.7500 0.3750 0.1250
Er: 0.8750 0.7500 0.1250
Er: 0.3750 0.7500 0.6250
Er: 0.2500 0.1250 0.3750
Er: 0.8750 0.1250 0.2500
Er: 0.3750 0.6250 0.2500
Er: 0.6250 0.3750 0.7500
Er: 0.1250 0.8750 0.7500
Er: 0.7500 0.8750 0.6250
Er: 0.6250 0.2500 0.3750
Er: 0.1250 0.2500 0.8750
Er: 0.2500 0.6250 0.8750
Pt: 0.1250 0.3750 0.2500
Pt: 0.0000 0.5000 0.0000
Pt: 0.0000 0.0000 0.0000
Pt: 0.3750 0.2500 0.1250
Pt: 0.5000 0.0000 0.5000
Pt: 0.5000 0.5000 0.0000
Pt: 0.1250 0.7500 0.3750
Pt: 0.7500 0.1250 0.8750
Pt: 0.7500 0.6250 0.3750
Pt: 0.3750 0.1250 0.7500
Pt: 0.6250 0.8750 0.2500
Pt: 0.5000 0.5000 0.5000
Pt: 0.5000 0.0000 0.0000
Pt: 0.0000 0.0000 0.5000
Pt: 0.2500 0.3750 0.6250
Pt: 0.2500 0.8750 0.1250
Pt: 0.0000 0.5000 0.5000
Pt: 0.8750 0.2500 0.6250
Pt: 0.6250 0.7500 0.8750
Pt: 0.8750 0.6250 0.7500
H: 0.6943 0.1117 0.0184
H: 0.3241 0.5184 0.4068
H: 0.9816 0.3883 0.3057
H: 0.5184 0.1943 0.1117
H: 0.5827 0.6943 0.6759
H: 0.9816 0.5932 0.1759
H: 0.3241 0.8057 0.4173
H: 0.0932 0.9173 0.1117
H: 0.5932 0.9816 0.6759
H: 0.6943 0.5827 0.1759
H: 0.8057 0.4816 0.3883
H: 0.8241 0.9068 0.0184
H: 0.1117 0.6943 0.5184
H: 0.3883 0.4068 0.0827
H: 0.0827 0.9068 0.3883
H: 0.4173 0.1117 0.5932
H: 0.0827 0.1759 0.1943
H: 0.4816 0.6759 0.0932
H: 0.8241 0.9173 0.3057
H: 0.1117 0.4173 0.0932
H: 0.3883 0.9816 0.8057
H: 0.5932 0.6117 0.4173
H: 0.9068 0.8241 0.5184
H: 0.8057 0.3241 0.9173
H: 0.4068 0.3883 0.5827
H: 0.0932 0.1759 0.4816
H: 0.1943 0.6759 0.0827
H: 0.1759 0.0827 0.6943
H: 0.6117 0.0184 0.1943
H: 0.8883 0.5827 0.9068
H: 0.5184 0.3241 0.9068
H: 0.5827 0.8883 0.4068
H: 0.9173 0.8241 0.8057
H: 0.9173 0.0932 0.6117
H: 0.8883 0.3057 0.4816
H: 0.1759 0.0932 0.9816
H: 0.6117 0.5932 0.9173
H: 0.4068 0.0184 0.3241
H: 0.3057 0.4173 0.8241
H: 0.1943 0.5184 0.6117
H: 0.9068 0.0827 0.8883
H: 0.6759 0.1943 0.5827
H: 0.4816 0.8057 0.8883
H: 0.0184 0.4068 0.8241
H: 0.4173 0.3057 0.3241
H: 0.0184 0.6117 0.6943
H: 0.6759 0.4816 0.5932
H: 0.3057 0.8883 0.9816

- Volume: 10.3 Å³ per atom
- Symmetry: No. 230
- Fermi-level density of states: 26.93 states/eV per cell
- Calculated total energy: -4.51 eV/atom
- Theoretical density: 12.0 g cm⁻³

=====

14.
The following is a GGA-PBE calculation of an optimized crystal structure of ErHPt3, from Alexandria.

Unit cell a=4.1544 b=4.1544 c=4.1544 alpha=90.00 beta=90.00 gamma=90.00
Atoms (fractional coordinates):
H: 0.0000 0.0000 0.0000
Pt: 0.0000 0.5000 0.0000
Pt: 0.0000 0.0000 0.5000
Pt: 0.5000 0.0000 0.0000
Er: 0.5000 0.5000 0.5000

- Energy above the lowest structure with this stoichiometry: 55.6 meV per atom
- Volume: 14.3 Å³ per atom
- Symmetry: No. 221
- Fermi-level density of states: 0.40 states/eV per cell
- Theoretical density: 17.5 g cm⁻³

=====

15.
The following is a GGA-PBE calculation of an optimized crystal structure of Er6HPt2, from Alexandria.

Unit cell a=6.3689 b=6.9864 c=9.5577 alpha=90.00 beta=89.25 gamma=90.00
Atoms (fractional coordinates):
Er: 0.1374 0.0261 0.2487
Er: 0.1747 0.3234 0.5623
Er: 0.1741 0.3194 0.9401
Er: 0.3259 0.8194 0.5599
Er: 0.3253 0.8234 0.9377
Er: 0.3626 0.5261 0.2513
Er: 0.8626 0.9739 0.7513
Er: 0.8253 0.6766 0.4377
Er: 0.8259 0.6806 0.0599
Er: 0.6741 0.1806 0.4401
Er: 0.6747 0.1766 0.0623
Er: 0.6374 0.4739 0.7487
H: 0.5000 0.5000 0.0000
H: 0.0000 0.0000 0.5000
Pt: 0.0578 0.6150 0.7526
Pt: 0.4422 0.1150 0.7474
Pt: 0.5578 0.8850 0.2526
Pt: 0.9422 0.3850 0.2474

- Volume: 23.6 Å³ per atom
- Symmetry: No. 14
- Fermi-level density of states: 17.48 states/eV per cell
- Calculated total energy: -5.49 eV/atom
- Theoretical density: 10.9 g cm⁻³

=====

16.
The following is a GGA-PBE calculation of an optimized crystal structure of ErHPt2Rh, from Alexandria.

Unit cell a=4.1791 b=4.0947 c=4.0947 alpha=90.00 beta=90.00 gamma=90.00
Atoms (fractional coordinates):
Er: 0.5000 0.5000 0.5000
H: 0.0000 0.0000 0.0000
Pt: 0.0000 0.0000 0.5000
Pt: 0.0000 0.5000 0.0000
Rh: 0.5000 0.0000 0.0000

- Volume: 14.0 Å³ per atom
- Symmetry: No. 123
- Fermi-level density of states: 3.78 states/eV per cell
- Calculated total energy: -6.20 eV/atom
- Theoretical density: 15.7 g cm⁻³

=====

17.
The following is a GGA-PBE calculation of an optimized crystal structure of ErHPtRh2, from Alexandria.

Unit cell a=4.0408 b=4.1150 c=4.1150 alpha=90.00 beta=90.00 gamma=90.00
Atoms (fractional coordinates):
Er: 0.5000 0.5000 0.5000
H: 0.0000 0.0000 0.0000
Pt: 0.5000 0.0000 0.0000
Rh: 0.0000 0.0000 0.5000
Rh: 0.0000 0.5000 0.0000

- Volume: 13.7 Å³ per atom
- Symmetry: No. 123
- Fermi-level density of states: 3.40 states/eV per cell
- Calculated total energy: -6.38 eV/atom
- Theoretical density: 13.8 g cm⁻³

=====

18.
The following is a GGA-PBE calculation of an optimized crystal structure of ErH8PtRh4, from Alexandria.

Unit cell a=5.6499 b=5.6499 c=5.6157 alpha=59.80 beta=59.80 gamma=60.00
Atoms (fractional coordinates):
Er: 0.3867 0.3867 0.8398
H: 0.2224 0.8551 0.7001
H: 0.8551 0.2224 0.7001
H: 0.2224 0.2224 0.7001
H: 0.2299 0.2299 0.3102
H: 0.6839 0.2820 0.3501
H: 0.2820 0.6839 0.3501
H: 0.6839 0.6839 0.3501
H: 0.7697 0.7697 0.6910
Pt: 0.0016 0.0016 0.9953
Rh: 0.6349 0.6349 0.0954
Rh: 0.0070 0.5136 0.4725
Rh: 0.5136 0.0070 0.4725
Rh: 0.0070 0.0070 0.4725

- Volume: 9.0 Å³ per atom
- Symmetry: No. 160
- Fermi-level density of states: 4.28 states/eV per cell
- Calculated total energy: -4.96 eV/atom
- Theoretical density: 10.3 g cm⁻³

=====

19.
The following is a GGA-PBE calculation of an optimized crystal structure of Er2HPtRh6, from Alexandria.

Unit cell a=5.5644 b=7.0480 c=7.1363 alpha=43.61 beta=67.03 gamma=89.99
Atoms (fractional coordinates):
Er: 0.7683 0.1902 0.4636
Er: 0.2317 0.8098 0.5364
H: 0.0000 0.0000 0.0000
Pt: 0.5000 0.5000 0.0000
Rh: 0.1974 0.1697 0.6055
Rh: 0.6548 0.7041 0.1627
Rh: 0.1815 0.7030 0.1635
Rh: 0.8185 0.2970 0.8365
Rh: 0.3452 0.2959 0.8373
Rh: 0.8026 0.8303 0.3945

- Volume: 15.9 Å³ per atom
- Symmetry: No. 12
- Fermi-level density of states: 8.34 states/eV per cell
- Calculated total energy: -6.71 eV/atom
- Theoretical density: 12.0 g cm⁻³

=====

20.
The following is a GGA-PBE calculation of an optimized crystal structure of Er2PuH, from Alexandria.

Unit cell a=3.2305 b=3.2305 c=8.3869 alpha=90.00 beta=90.00 gamma=90.00
Atoms (fractional coordinates):
H: 0.5000 0.5000 0.0000
Er: 0.0000 0.0000 0.8044
Er: 0.0000 0.0000 0.1956
Pu: 0.5000 0.5000 0.5000

- Energy above the lowest structure with this stoichiometry: 93.6 meV per atom
- Volume: 21.9 Å³ per atom
- Symmetry: No. 123
- Fermi-level density of states: 8.52 states/eV per cell
- Theoretical density: 11.0 g cm⁻³